VASP calculation (PBE) on an optimized crystal structure of InBAs2P.

The structure belongs to space group P4/mmm (No. 123); the cell edges are 4.386, 4.386 and 4.759 Å and the angles 90.00°, 90.00° and 90.00°. Symmetry generates all atoms from In at (0.000, 0.000, 0.000), B at (0.000, 0.000, 0.500), As at (0.000, 0.500, 0.500) and P at (0.500, 0.500, 0.000).

The formation energy comes out at 78.3 kJ/mol of atoms. For the size of the total moment, the calculation gives 0.00 μB/f.u. As for the calculated volume: 18.311 Å³/atom. The value obtained for the total energy is -4.01 eV per atom. As for the density of states at the Fermi level: 3.18 states/eV per cell.